Density functional theory data (PBE) for crystalline DyEr2Au at its relaxed geometry.

Unit cell a=6.918 b=9.665 c=6.636 alpha=90.00 beta=90.00 gamma=90.00
Fractional positions:
Dy (0.011, 0.250, 0.116)
Dy (0.489, 0.750, 0.616)
Dy (0.511, 0.250, 0.384)
Dy (0.989, 0.750, 0.884)
Er (0.197, 0.055, 0.695)
Er (0.197, 0.445, 0.695)
Er (0.303, 0.555, 0.195)
Er (0.303, 0.945, 0.195)
Er (0.697, 0.055, 0.805)
Er (0.697, 0.445, 0.805)
Er (0.803, 0.555, 0.305)
Er (0.803, 0.945, 0.305)
Au (0.087, 0.750, 0.458)
Au (0.413, 0.250, 0.958)
Au (0.587, 0.750, 0.042)
Au (0.913, 0.250, 0.542)

Output
Total moment = 0.00 μB/f.u.
ρ = 10.4 g cm⁻³
Calculated total energy = -75.31 eV/cell
Energy relative to the elements = -0.456 eV per atom